# NaPm8Tc2 GGA-PBE relaxed
# D(E_F): 9.7 states/eV/f.u.
# VASP energy: -0.394 Ry per atom
# formation enthalpy at 0 K: 93 meV/atom
# magnetic moment: 0.00 μB per formula unit
data_NaPm8Tc2
_chemical_formula_sum 'Na2 Pm16 Tc4'
_space_group_name_H-M_alt 'C 1 2/m 1'
_space_group_IT_number 12
_cell_length_a 15.6769
_cell_length_b 6.8887
_cell_length_c 6.4513
_cell_angle_alpha 90.00
_cell_angle_beta 95.34
_cell_angle_gamma 90.00
loop_
_space_group_symop_operation_xyz
'x,y,z'
'-x,-y,-z'
'-x,y,-z'
'x,-y,z'
'x+1/2,y+1/2,z'
'-x+1/2,-y+1/2,-z'
'-x+1/2,y+1/2,-z'
'x+1/2,-y+1/2,z'
loop_
_atom_site_label
_atom_site_type_symbol
_atom_site_fract_x
_atom_site_fract_y
_atom_site_fract_z
Na1 Na 0.0000 0.0000 0.0000
Pm1 Pm 0.0760 0.5000 0.8381
Pm2 Pm 0.1290 0.2483 0.3890
Pm3 Pm 0.2094 0.0000 0.8777
Tc1 Tc 0.2283 0.5000 0.6823